Entry 1:
DFT (PBE) results for crystalline AcPmLu2 at its relaxed geometry.

Geometry as POSCAR:
```
AcPmLu2
1.0
4.8845 0.0000 0.0000
0.0000 5.2758 0.0000
0.0000 0.0000 5.2758
Ac Lu Pm
1 2 1
Direct
0.5000 0.0000 0.0000
0.0000 0.0000 0.5000
0.0000 0.5000 0.0000
0.5000 0.5000 0.5000
```

SG ... P4/mmm (123)
ΔH_f (0 K) ... 0.06 eV/atom
Distance to the lowest polymorph of the same formula ... 0 meV/atom
Total DFT energy (no corrections) ... -4.414 eV per atom


Entry 2:
DFT (PBE) results for crystalline AcCuGePt6 at its relaxed geometry.

Geometry as POSCAR:
```
AcCuGePt6
1.0
-1.1018 2.9445 -6.8785
4.5158 -6.5826 -3.5412
-6.4899 -1.1829 4.6909
Ac Cu Ge Pt
2 2 2 12
Direct
0.8591 0.6091 0.7183
0.1409 0.3909 0.2817
0.5000 0.0000 0.5000
0.0000 0.0000 0.5000
0.5000 0.5000 0.0000
0.5000 0.0000 0.0000
0.4017 0.6517 0.8033
0.8856 0.1356 0.7711
0.8831 0.1101 0.2506
0.3675 0.6405 0.2506
0.3675 0.1101 0.2506
0.8831 0.6405 0.2506
0.5983 0.3483 0.1967
0.1144 0.8644 0.2289
0.1169 0.8899 0.7494
0.6325 0.3595 0.7494
0.6325 0.8899 0.7494
0.1169 0.3595 0.7494
```

SG ... Imma (74)
ΔH_f (0 K) ... -0.25 eV/atom
Total DFT energy (no corrections) ... -5.699 eV per atom